Entry 1:
The following is a DFT calculation (GGA-PBE) of a geometry-optimized TbPr14Pu structure.

Structure (POSCAR):
```
TbPr14Pu
1.0
-5.782 3.496 3.069
-0.884 -3.677 -6.386
-2.765 -9.927 6.099
Pr Tb Pu
14 1 1
direct
0.166 0.834 0.751
0.162 0.332 0.243
0.166 0.834 0.249
0.834 0.667 0.500
0.667 0.333 0.754
0.333 0.166 0.500
0.668 0.838 0.757
0.835 0.664 0.000
0.162 0.332 0.757
0.334 0.666 0.500
0.667 0.333 0.246
0.336 0.165 0.000
0.668 0.838 0.243
0.833 0.167 0.500
0.335 0.665 0.000
0.833 0.167 0.000
```

- Size of the total moment: 6.7 μB per formula unit
- Crystal system: orthorhombic
- ΔH_f (0 K): 0.0631 eV/atom
- Space-group type: No. 38

Entry 2:
The following is a DFT calculation (GGA-PBE) of a geometry-optimized TbPrPu structure.

Structure (POSCAR):
```
TbPrPu
1.0
-2.805 -1.323 -1.235
3.024 -2.559 -4.127
-0.915 -2.693 4.964
Pr Tb Pu
1 1 1
direct
0.167 0.667 0.333
0.166 0.000 0.000
0.667 0.333 0.667
```

- Size of the total moment: 5.7 μB per formula unit
- Crystal system: hexagonal
- ΔH_f (0 K): 0.2332 eV/atom
- ΔE to the lowest computed polymorph: 0.103 eV per atom
- Space-group type: No. 187

Entry 3:
The following is a DFT calculation (GGA-PBE) of a geometry-optimized Tb7Pr12Pu structure.

Structure (POSCAR):
```
Tb7Pr12Pu
1.0
-3.549 -2.810 4.345
-7.708 1.207 -8.536
8.216 -8.002 -1.485
Tb Pr Pu
7 12 1
direct
0.645 0.759 0.760
0.115 0.000 0.759
0.500 0.000 0.000
0.885 0.000 0.241
0.355 0.241 0.240
0.885 0.240 0.000
0.115 0.760 0.000
0.431 0.354 0.000
0.569 0.000 0.646
0.500 0.588 0.412
0.078 0.646 0.646
0.431 0.000 0.354
0.569 0.646 0.000
0.912 0.412 0.824
0.500 0.412 0.588
0.922 0.354 0.354
0.088 0.588 0.176
0.912 0.824 0.412
0.088 0.176 0.588
0.000 0.000 0.000
```

- Size of the total moment: 5.8 μB per formula unit
- Crystal system: trigonal
- ΔH_f (0 K): 0.2118 eV/atom
- Space-group type: No. 166